## Zn2CdAs (PBE)

Data for a geometry-optimized Zn2CdAs structure.

For the formation energy, the calculation gives 75 meV per atom. The uncorrected energy comes out at -1.95 eV per atom.

Cell lengths 6.5941, 6.5941, 6.5941 Å; angles 34.79, 34.79, 34.79 degrees
Closest atoms and distances in Å follow each position.
Fractional positions:
Cd 0.7500 0.7500 0.7500  6 Zn 2.94
As 0.2500 0.2500 0.2500  6 Zn 2.59
Zn 0.5172 0.5172 0.5172  3 As 2.59
Zn 0.9828 0.9828 0.9828  3 As 2.59

## Rb3ZrNp2Te6 (PBE)

Data for a geometry-optimized Rb3ZrNp2Te6 structure.

As for the uncorrected formation energy: -0.901 eV/atom. The uncorrected energy comes out at -5.58 eV per atom.

Cell lengths 7.7283, 7.7283, 8.9823 Å; angles 98.26, 98.26, 120.01 degrees
Closest atoms and distances in Å follow each position.
Fractional positions:
Te 0.2524 0.2524 0.8001  1 Zr 3.01, 2 Np 3.14
Te 0.6143 0.9338 0.8013  1 Zr 3.00, 2 Np 3.14
Zr 0.0000 0.0000 0.0000  6 Te 3.00-3.01
Te 0.7476 0.7476 0.1999  1 Zr 3.01, 2 Np 3.14
Te 0.0662 0.3857 0.1987  1 Zr 3.00, 2 Np 3.14
Rb 0.8299 0.1701 0.5000  6 Te 3.62-3.70
Te 0.9338 0.6143 0.8013  1 Zr 3.00, 2 Np 3.14
Np 0.6663 0.3337 0.0000  6 Te 3.14
Te 0.3857 0.0662 0.1987  1 Zr 3.00, 2 Np 3.14
Rb 0.5000 0.5000 0.5000  6 Te 3.62-3.73
Np 0.3337 0.6663 0.0000  6 Te 3.14
Rb 0.1701 0.8299 0.5000  6 Te 3.62-3.70

## Ba5Pb24 (PBE)

Data for a geometry-optimized Ba5Pb24 structure.

For the formation energy, the calculation gives -206 meV per atom. The uncorrected energy comes out at -3.61 eV per atom.

Cell lengths 10.8913, 10.8913, 10.8913 Å; angles 109.47, 109.47, 109.47 degrees
Closest atoms and distances in Å follow each position.
Fractional positions:
Pb 0.3242 0.3242 0.7136  3 Pb 3.21-3.50
Pb 0.6758 0.3894 0.0000  3 Pb 3.21-3.50
Pb 0.8074 0.1884 0.8074  6 Pb 3.21-3.50
Pb 0.2864 0.6106 0.6106  3 Pb 3.21-3.50
Ba 0.6283 0.0000 0.0000  12 Pb 3.62-3.93, 1 Ba 4.05
Pb 0.0000 0.3810 0.1926  6 Pb 3.21-3.50
Pb 0.6190 0.6190 0.8116  6 Pb 3.21-3.50
Ba 0.0000 0.0000 0.6283  12 Pb 3.62-3.93, 1 Ba 4.05
Pb 0.3894 0.6758 0.0000  3 Pb 3.21-3.50
Pb 0.6758 0.0000 0.3894  3 Pb 3.21-3.50
Pb 0.0000 0.6758 0.3894  3 Pb 3.21-3.50
Pb 0.6106 0.6106 0.2864  3 Pb 3.21-3.50
Pb 0.0000 0.3894 0.6758  3 Pb 3.21-3.50
Pb 0.7136 0.3242 0.3242  3 Pb 3.21-3.50
Pb 0.6190 0.8116 0.6190  6 Pb 3.21-3.50
Pb 0.3810 0.0000 0.1926  6 Pb 3.21-3.50
Pb 0.1884 0.8074 0.8074  6 Pb 3.21-3.50
Pb 0.0000 0.1926 0.3810  6 Pb 3.21-3.50
Pb 0.6106 0.2864 0.6106  3 Pb 3.21-3.50
Ba 0.3717 0.3717 0.3717  12 Pb 3.62-3.93, 1 Ba 4.05
Pb 0.8074 0.8074 0.1884  6 Pb 3.21-3.50
Pb 0.1926 0.3810 0.0000  6 Pb 3.21-3.50
Ba 0.0000 0.0000 0.0000  12 Pb 3.98, 4 Ba 4.05
Ba 0.0000 0.6283 0.0000  12 Pb 3.62-3.93, 1 Ba 4.05
Pb 0.3810 0.1926 0.0000  6 Pb 3.21-3.50
Pb 0.3242 0.7136 0.3242  3 Pb 3.21-3.50
Pb 0.1926 0.0000 0.3810  6 Pb 3.21-3.50
Pb 0.8116 0.6190 0.6190  6 Pb 3.21-3.50
Pb 0.3894 0.0000 0.6758  3 Pb 3.21-3.50

## TaBiH (PBE)

Data for a geometry-optimized TaBiH structure.

The uncorrected energy comes out at -6.08 eV per atom.

Cell lengths 3.6480, 6.3480, 5.2298 Å; angles 81.46, 110.41, 90.00 degrees
Closest atoms and distances in Å follow each position.
Fractional positions:
H 0.3672 0.1117 0.7344  1 Ta 1.83
H 0.6328 0.8883 0.2656  1 Ta 1.83
Ta 0.6460 0.5983 0.2919  1 H 1.83
Ta 0.3540 0.4017 0.7081  1 H 1.83
Bi 0.9114 0.7576 0.8227  5 H 2.73-3.05, 5 Ta 2.94-3.02
Bi 0.0887 0.2424 0.1773  5 H 2.73-3.05, 5 Ta 2.94-3.02